Entry 1:
# AcErIr (GGA-PBE, optimized geometry)
# Calculated formation energy   -550 meV/atom
# Spin magnetization   0.000 μB per formula unit
# E above lowest polymorph   8.5 kJ/mol of atoms
# Calculated total energy   -19.18 eV/cell
data_AcErIr
_chemical_formula_sum 'Ac1 Er1 Ir1'
_space_group_name_H-M_alt 'P 3 m 1'
_space_group_IT_number 156
_space_group_name_Hall 'P 3 -2"'
_cell_length_a 4.2623
_cell_length_b 4.2623
_cell_length_c 6.4114
_cell_angle_alpha 90.00
_cell_angle_beta 90.00
_cell_angle_gamma 120.00
loop_
_atom_site_label
_atom_site_fract_x
_atom_site_fract_y
_atom_site_fract_z
Ac1 0.0000 0.0000 0.0000
Er1 0.6667 0.3333 0.5449
Ir1 0.3333 0.6667 0.7435

Entry 2:
# AcErIr (GGA-PBE, optimized geometry)
# Calculated formation energy   -581 meV/atom
# Spin magnetization   0.000 μB per formula unit
# E above lowest polymorph   5.5 kJ/mol of atoms
# Calculated total energy   -77.10 eV/cell
data_AcErIr
_chemical_formula_sum 'Ac4 Er4 Ir4'
_space_group_name_H-M_alt 'I m m a'
_space_group_IT_number 74
_space_group_name_Hall '-I 2b 2'
_cell_length_a 5.4950
_cell_length_b 5.9739
_cell_length_c 12.3775
_cell_angle_alpha 90.00
_cell_angle_beta 90.00
_cell_angle_gamma 90.00
loop_
_atom_site_label
_atom_site_fract_x
_atom_site_fract_y
_atom_site_fract_z
Ac1 0.0000 0.2500 0.1115
Er1 0.0000 0.2500 0.6510
Ir1 0.0000 0.2500 0.8724

Entry 3:
# AcEr4Ir4 (GGA-PBE, optimized geometry)
# Calculated formation energy   -679 meV/atom
# Spin magnetization   0.000 μB per formula unit
# Calculated total energy   -127.84 eV/cell
data_AcEr4Ir4
_chemical_formula_sum 'Ac2 Er8 Ir8'
_space_group_name_H-M_alt 'P 42/n'
_space_group_IT_number 86
_cell_length_a 9.0946
_cell_length_b 9.0946
_cell_length_c 5.5894
_cell_angle_alpha 90.00
_cell_angle_beta 90.00
_cell_angle_gamma 90.00
loop_
_space_group_symop_operation_xyz
'x,y,z'
'-x,-y,-z'
'-y,x+1/2,z+1/2'
'y,-x+1/2,-z+1/2'
'-x+1/2,-y+1/2,z'
'x+1/2,y+1/2,-z'
'y+1/2,-x,z+1/2'
'-y+1/2,x,-z+1/2'
loop_
_atom_site_label
_atom_site_fract_x
_atom_site_fract_y
_atom_site_fract_z
Ac1 0.2500 0.2500 0.2500
Er1 0.0932 0.6470 0.1507
Ir1 0.0465 0.6078 0.6532

Entry 4:
# Ac3ErIr2 (GGA-PBE, optimized geometry)
# Calculated formation energy   -616 meV/atom
# Spin magnetization   0.000 μB per formula unit
# Calculated total energy   -153.23 eV/cell
data_Ac3ErIr2
_chemical_formula_sum 'Ac12 Er4 Ir8'
_space_group_name_H-M_alt 'C 1 2/m 1'
_space_group_IT_number 12
_space_group_name_Hall '-C 2y'
_cell_length_a 17.3517
_cell_length_b 4.4833
_cell_length_c 11.7126
_cell_angle_alpha 90.00
_cell_angle_beta 117.01
_cell_angle_gamma 90.00
loop_
_atom_site_label
_atom_site_fract_x
_atom_site_fract_y
_atom_site_fract_z
Ac1 0.0503 0.0000 0.2377
Ac2 0.1609 0.5000 0.0086
Ac3 0.2165 0.0000 0.6079
Er1 0.0715 0.5000 0.6559
Ir1 0.1133 0.5000 0.4360
Ir2 0.1394 0.0000 0.8210

Entry 5:
# AcErIr (GGA-PBE, optimized geometry)
# Calculated formation energy   -638 meV/atom
# Spin magnetization   0.000 μB per formula unit
# E above lowest polymorph   0.0 kJ/mol of atoms
# Calculated total energy   -38.89 eV/cell
data_AcErIr
_chemical_formula_sum 'Ac2 Er2 Ir2'
_space_group_name_H-M_alt 'P 1 21/m 1'
_space_group_IT_number 11
_space_group_name_Hall '-P 2yb'
_cell_length_a 4.8500
_cell_length_b 4.8267
_cell_length_c 7.3614
_cell_angle_alpha 90.00
_cell_angle_beta 98.52
_cell_angle_gamma 90.00
loop_
_atom_site_label
_atom_site_fract_x
_atom_site_fract_y
_atom_site_fract_z
Ac1 0.2276 0.2500 0.3848
Er1 0.2659 0.7500 0.0079
Ir1 0.1690 0.2500 0.7848

Entry 6:
# Ac12ErIr7 (GGA-PBE, optimized geometry)
# Calculated formation energy   -569 meV/atom
# Spin magnetization   0.000 μB per formula unit
# Calculated total energy   -381.83 eV/cell
data_Ac12ErIr7
_chemical_formula_sum 'Ac36 Er3 Ir21'
_space_group_name_H-M_alt 'R -3'
_space_group_IT_number 148
_space_group_name_Hall '-R 3'
_cell_length_a 15.4437
_cell_length_b 15.4437
_cell_length_c 10.5068
_cell_angle_alpha 90.00
_cell_angle_beta 90.00
_cell_angle_gamma 120.00
loop_
_atom_site_label
_atom_site_fract_x
_atom_site_fract_y
_atom_site_fract_z
Ac1 0.0250 0.4416 0.1589
Ac2 0.0452 0.8780 0.8224
Er1 0.0000 0.0000 0.5000
Ir1 0.0000 0.0000 0.0000
Ir2 0.0454 0.8654 0.3412

Entry 7:
# AcEr2IrN4 (GGA-PBE, optimized geometry)
# Energy relative to the elements, uncorrected   -0.933 eV/atom
# Spin magnetization   0.000 μB per formula unit
# Calculated total energy   -251.43 eV/cell
data_AcEr2IrN4
_chemical_formula_sum 'Ac4 Er8 Ir4 N16'
_space_group_name_H-M_alt 'C m c m'
_space_group_IT_number 63
_space_group_name_Hall '-C 2c 2'
_cell_length_a 3.4705
_cell_length_b 12.0105
_cell_length_c 11.6217
_cell_angle_alpha 90.00
_cell_angle_beta 90.00
_cell_angle_gamma 90.00
loop_
_atom_site_label
_atom_site_fract_x
_atom_site_fract_y
_atom_site_fract_z
Ac1 0.0000 0.1069 0.2500
Er1 0.0000 0.3698 0.0443
Ir1 0.0000 0.1537 0.7500
N1 0.0000 0.0000 0.0000
N2 0.0000 0.2673 0.6201
N3 0.0000 0.4387 0.2500

Entry 8:
# AcErNiIr (GGA-PBE, optimized geometry)
# Calculated formation energy   -419 meV/atom
# Spin magnetization   0.000 μB per formula unit
# Calculated total energy   -99.96 eV/cell
data_AcErNiIr
_chemical_formula_sum 'Ac4 Er4 Ni4 Ir4'
_space_group_name_H-M_alt 'F -4 3 m'
_space_group_IT_number 216
_space_group_name_Hall 'F -4 2 3'
_cell_length_a 7.0927
_cell_length_b 7.0927
_cell_length_c 7.0927
_cell_angle_alpha 90.00
_cell_angle_beta 90.00
_cell_angle_gamma 90.00
loop_
_atom_site_label
_atom_site_fract_x
_atom_site_fract_y
_atom_site_fract_z
Ac1 0.0000 0.0000 0.0000
Er1 0.0000 0.0000 0.5000
Ni1 0.2500 0.2500 0.2500
Ir1 0.2500 0.2500 0.7500

Entry 9:
# AcEr2IrO8 (GGA-PBE, optimized geometry)
# Energy relative to the elements, uncorrected   -2.340 eV/atom
# Spin magnetization   2.138 μB per formula unit
# Calculated total energy   -89.84 eV/cell
data_AcEr2IrO8
_chemical_formula_sum 'Ac1 Er2 Ir1 O8'
_space_group_name_H-M_alt 'P 1 2/m 1'
_space_group_IT_number 10
_space_group_name_Hall '-P 2y'
_cell_length_a 5.0577
_cell_length_b 7.0241
_cell_length_c 5.0634
_cell_angle_alpha 90.00
_cell_angle_beta 90.71
_cell_angle_gamma 90.00
loop_
_atom_site_label
_atom_site_fract_x
_atom_site_fract_y
_atom_site_fract_z
Ac1 0.0000 0.0000 0.0000
Er1 0.5000 0.2551 0.5000
Ir1 0.0000 0.5000 0.0000
O1 0.1905 0.3029 0.1887
O2 0.2698 0.5000 0.7286
O3 0.3244 0.0000 0.6736

Entry 10:
# AcErIrPd (GGA-PBE, optimized geometry)
# Calculated formation energy   -687 meV/atom
# Spin magnetization   0.000 μB per formula unit
# Calculated total energy   -101.90 eV/cell
data_AcErIrPd
_chemical_formula_sum 'Ac4 Er4 Ir4 Pd4'
_space_group_name_H-M_alt 'F -4 3 m'
_space_group_IT_number 216
_space_group_name_Hall 'F -4 2 3'
_cell_length_a 7.2049
_cell_length_b 7.2049
_cell_length_c 7.2049
_cell_angle_alpha 90.00
_cell_angle_beta 90.00
_cell_angle_gamma 90.00
loop_
_atom_site_label
_atom_site_fract_x
_atom_site_fract_y
_atom_site_fract_z
Ac1 0.0000 0.0000 0.0000
Er1 0.0000 0.0000 0.5000
Ir1 0.2500 0.2500 0.2500
Pd1 0.2500 0.2500 0.7500

Entry 11:
# AcErIrPt (GGA-PBE, optimized geometry)
# Calculated formation energy   -813 meV/atom
# Spin magnetization   0.000 μB per formula unit
# Calculated total energy   -107.29 eV/cell
data_AcErIrPt
_chemical_formula_sum 'Ac4 Er4 Ir4 Pt4'
_space_group_name_H-M_alt 'F -4 3 m'
_space_group_IT_number 216
_space_group_name_Hall 'F -4 2 3'
_cell_length_a 7.1924
_cell_length_b 7.1924
_cell_length_c 7.1924
_cell_angle_alpha 90.00
_cell_angle_beta 90.00
_cell_angle_gamma 90.00
loop_
_atom_site_label
_atom_site_fract_x
_atom_site_fract_y
_atom_site_fract_z
Ac1 0.0000 0.0000 0.0000
Er1 0.0000 0.0000 0.5000
Ir1 0.2500 0.2500 0.7500
Pt1 0.2500 0.2500 0.2500

Entry 12:
# AcErIrRu (GGA-PBE, optimized geometry)
# Calculated formation energy   -317 meV/atom
# Spin magnetization   0.001 μB per formula unit
# Calculated total energy   -112.31 eV/cell
data_AcErIrRu
_chemical_formula_sum 'Ac4 Er4 Ir4 Ru4'
_space_group_name_H-M_alt 'F -4 3 m'
_space_group_IT_number 216
_space_group_name_Hall 'F -4 2 3'
_cell_length_a 7.0884
_cell_length_b 7.0884
_cell_length_c 7.0884
_cell_angle_alpha 90.00
_cell_angle_beta 90.00
_cell_angle_gamma 90.00
loop_
_atom_site_label
_atom_site_fract_x
_atom_site_fract_y
_atom_site_fract_z
Ac1 0.0000 0.0000 0.0000
Er1 0.0000 0.0000 0.5000
Ir1 0.2500 0.2500 0.2500
Ru1 0.2500 0.2500 0.7500

- Which of these has the highest calculated total energy?
  number 1

What did the seventh record say?
# AcEr2IrN4 (GGA-PBE, optimized geometry)
# Energy relative to the elements, uncorrected   -0.933 eV/atom
# Spin magnetization   0.000 μB per formula unit
# Calculated total energy   -251.43 eV/cell
data_AcEr2IrN4
_chemical_formula_sum 'Ac4 Er8 Ir4 N16'
_space_group_name_H-M_alt 'C m c m'
_space_group_IT_number 63
_space_group_name_Hall '-C 2c 2'
_cell_length_a 3.4705
_cell_length_b 12.0105
_cell_length_c 11.6217
_cell_angle_alpha 90.00
_cell_angle_beta 90.00
_cell_angle_gamma 90.00
loop_
_atom_site_label
_atom_site_fract_x
_atom_site_fract_y
_atom_site_fract_z
Ac1 0.0000 0.1069 0.2500
Er1 0.0000 0.3698 0.0443
Ir1 0.0000 0.1537 0.7500
N1 0.0000 0.0000 0.0000
N2 0.0000 0.2673 0.6201
N3 0.0000 0.4387 0.2500